Compound: PrCuSnHg
Source: the Alexandria database
Functional: PBE
Structure: optimized geometry

Structure (POSCAR):
```
PrCuSnHg
1.0
0.000 3.612 3.612
3.612 0.000 3.612
3.612 3.612 0.000
Pr Cu Sn Hg
1 1 1 1
Direct
0.000 0.000 0.000
0.250 0.250 0.250
0.500 0.500 0.500
0.750 0.750 0.750
```

Total magnetic moment = 0.0 μB per formula unit
Space group = No. 216
Raw total energy = -14.286 eV for the cell shown

Compound: Pr2Cu4Sn3Hg
Source: the Alexandria database
Functional: PBE
Structure: optimized geometry

Structure (POSCAR):
```
Pr2Cu4Sn3Hg
1.0
4.461 0.000 0.000
0.000 4.461 0.000
0.000 0.000 10.735
Pr Cu Sn Hg
2 4 3 1
Direct
0.000 0.500 0.239
0.500 0.000 0.761
0.000 0.000 0.000
0.000 0.500 0.636
0.500 0.000 0.364
0.500 0.500 0.000
0.000 0.500 0.871
0.500 0.000 0.129
0.500 0.500 0.500
0.000 0.000 0.500
```

Total magnetic moment = 0.0 μB per formula unit
Space group = No. 115
Raw total energy = -42.069 eV for the cell shown

Compound: Pr4TlCuHg2
Source: the Alexandria database
Functional: PBE
Structure: optimized geometry

Structure (POSCAR):
```
Pr4TlCuHg2
1.0
2.711 1.565 8.840
-2.711 1.565 8.840
0.000 -3.131 8.840
Pr Tl Cu Hg
4 1 1 2
Direct
0.118 0.118 0.118
0.369 0.369 0.369
0.631 0.631 0.631
0.882 0.882 0.882
0.500 0.500 0.500
0.000 0.000 0.000
0.245 0.245 0.245
0.755 0.755 0.755
```

Total magnetic moment = 1.4 μB per formula unit
Space group = No. 166
Raw total energy = -28.939 eV for the cell shown

Compound: PrTlCuHg
Source: the Alexandria database
Functional: PBE
Structure: optimized geometry

Structure (POSCAR):
```
PrTlCuHg
1.0
0.000 3.628 3.628
3.628 0.000 3.628
3.628 3.628 0.000
Pr Tl Cu Hg
1 1 1 1
Direct
0.000 0.000 0.000
0.500 0.500 0.500
0.750 0.750 0.750
0.250 0.250 0.250
```

Total magnetic moment = 0.0 μB per formula unit
Space group = No. 216
Raw total energy = -12.307 eV for the cell shown

Compound: PrTmCuHg
Source: the Alexandria database
Functional: PBE
Structure: optimized geometry

Structure (POSCAR):
```
PrTmCuHg
1.0
0.000 3.668 3.668
3.668 0.000 3.668
3.668 3.668 0.000
Pr Tm Cu Hg
1 1 1 1
Direct
0.000 0.000 0.000
0.500 0.500 0.500
0.250 0.250 0.250
0.750 0.750 0.750
```

Total magnetic moment = 0.0 μB per formula unit
Space group = No. 216
Raw total energy = -14.812 eV for the cell shown

Compound: Pr4ZnCuHg2
Source: the Alexandria database
Functional: PBE
Structure: optimized geometry

Structure (POSCAR):
```
Pr4ZnCuHg2
1.0
2.675 1.545 8.726
-2.675 1.545 8.726
0.000 -3.089 8.726
Pr Zn Cu Hg
4 1 1 2
Direct
0.122 0.122 0.122
0.373 0.373 0.373
0.627 0.627 0.627
0.878 0.878 0.878
0.500 0.500 0.500
0.000 0.000 0.000
0.246 0.246 0.246
0.754 0.754 0.754
```

Total magnetic moment = 1.0 μB per formula unit
Space group = No. 166
Raw total energy = -27.652 eV for the cell shown

Compound: Cu2HgPt
Source: the Alexandria database
Functional: PBE
Structure: optimized geometry

Structure (POSCAR):
```
Cu2HgPt
1.0
2.830 -3.673 0.000
2.830 3.673 0.000
0.000 0.000 2.925
Cu Hg Pt
2 1 1
Direct
0.000 0.500 0.000
0.500 0.000 0.000
0.000 0.000 0.500
0.500 0.500 0.500
```

Total magnetic moment = 0.0 μB per formula unit
Space group = No. 65
Raw total energy = -14.466 eV for the cell shown

Compound: Cu2HgPt
Source: the Alexandria database
Functional: PBE
Structure: optimized geometry

Structure (POSCAR):
```
Cu2HgPt
1.0
1.425 0.823 8.840
-1.425 0.823 8.840
0.000 -1.645 8.840
Cu Hg Pt
2 1 1
Direct
0.245 0.245 0.245
0.755 0.755 0.755
0.000 0.000 0.000
0.500 0.500 0.500
```

Total magnetic moment = 0.0 μB per formula unit
Space group = No. 166
Raw total energy = -14.252 eV for the cell shown